No. 1
Entry from Alexandria via LeMat-Bulk: crystalline Dy3TeRu at its relaxed geometry (PBE).

```
10
Lattice="4.184 0.000 0.000 0.000 6.909 0.000 0.000 0.000 9.479" Properties=species:S:1:pos:R:3 pbc="T T T"
Dy 1.046 0.021 1.408
Dy 1.046 1.727 5.727
Dy 1.046 3.433 1.408
Dy 3.138 3.476 8.071
Dy 3.138 5.182 3.752
Dy 3.138 6.888 8.071
Te 1.046 5.182 6.080
Te 3.138 1.727 3.399
Ru 1.046 1.727 8.537
Ru 3.138 5.182 0.942
```

Values from the calculation:
E ... -5.9042 eV/atom
Space-group type ... Pmmn (59)
Calculated volume ... 274 Å³ per cell
ΔE_f (raw) ... -659 meV/atom
Excess energy over the best structure of this formula in the dataset ... 0.020 eV per atom
Total magnetization ... 0.00 μB/atom

No. 2
Entry from Alexandria via LeMat-Bulk: crystalline Nb2CdSe at its relaxed geometry (PBE).

```
8
Lattice="-2.011 2.011 9.993 2.011 -2.011 9.993 2.011 2.011 -9.993" Properties=species:S:1:pos:R:3 pbc="T T T"
Nb 3.016 1.002 -2.498
Nb 1.002 1.005 2.498
Nb -1.005 1.008 7.495
Nb 1.008 1.005 12.492
Cd 0.000 0.000 0.000
Cd 0.000 2.011 4.997
Se 2.011 0.000 4.997
Se 0.000 0.000 9.993
```

Values from the calculation:
E ... -5.8078 eV/atom
Space-group type ... I-42d (122)
Calculated volume ... 162 Å³ per cell
ΔE_f (raw) ... 327 meV/atom
Excess energy over the best structure of this formula in the dataset ... 0.085 eV per atom
Total magnetization ... 0.00 μB/atom

No. 3
Entry from Alexandria via LeMat-Bulk: crystalline Th2BPt2Rh4 at its relaxed geometry (PBE).

```
9
Lattice="-3.029 3.029 4.131 3.029 -3.029 4.131 3.029 3.029 -4.131" Properties=species:S:1:pos:R:3 pbc="T T T"
Th 3.029 0.000 2.066
Th 0.000 3.029 2.066
B 0.000 0.000 0.000
Pt 0.000 0.000 2.150
Pt 0.000 0.000 6.112
Rh 1.524 1.524 0.000
Rh 1.506 -1.506 4.131
Rh -1.506 1.506 4.131
Rh 1.506 1.506 4.131
```

Values from the calculation:
E ... -7.9984 eV/atom
Space-group type ... I4/mmm (139)
Calculated volume ... 152 Å³ per cell
E_form ... -8.98 eV/f.u.
Total magnetization ... 0.00 μB/atom

No. 4
Entry from Alexandria via LeMat-Bulk: crystalline LiCdPb2 at its relaxed geometry (PBE).

```
4
Lattice="3.519 0.000 0.000 0.000 5.031 0.000 -1.488 0.000 5.856" Properties=species:S:1:pos:R:3 pbc="T T T"
Li 0.000 0.000 0.000
Cd 2.030 2.516 4.255
Pb 0.267 0.000 3.056
Pb 1.772 2.516 1.082
```

Values from the calculation:
E ... -2.6523 eV/atom
Space-group type ... Pm (6)
Calculated volume ... 104 Å³ per cell
E_form ... -0.36 eV/f.u.
Total magnetization ... 0.00 μB/atom